[1]
An optimized crystal structure of Ac4Os. Source: Alexandria, functional GGA-PBE.

Cell lengths 5.9426, 5.9426, 5.9426 Å; angles 90.00, 90.00, 90.00 degrees
With the nearest neighbours (Å) after each atom.
Space group Pm-3m (No. 221)
Symmetry-distinct sites (fractional):
Ac (0.0000, 0.0000, 0.0000) [1 per cell]  12 Ac 4.20
Ac (0.0000, 0.5000, 0.5000) [3 per cell]  2 Os 2.97
Os (0.5000, 0.5000, 0.5000) [1 per cell]  6 Ac 2.97

Results
For the density, the calculation gives 8.69 g/cm³. As for the total moment: 0.00 μB/atom. The formation energy from the elements is 0.06 eV per atom. As for the relative energy among the computed polymorphs: 9.6 kJ/mol of atoms.


[2]
An optimized crystal structure of Ac5Os. Source: Alexandria, functional GGA-PBE.

Cell lengths 4.1185, 18.9148, 6.3217 Å; angles 90.00, 90.00, 90.00 degrees
With the nearest neighbours (Å) after each atom.
Space group Cmmm (No. 65)
Symmetry-distinct sites (fractional):
Ac (0.0000, 0.0000, 0.0000) [2 per cell]  10 Ac 3.74-4.12, 4 Os 3.77
Ac (0.0000, 0.1100, 0.5000) [4 per cell]  2 Os 2.93
Ac (0.0000, 0.3350, 0.0000) [4 per cell]  10 Ac 3.74-4.12
Os (0.0000, 0.5000, 0.5000) [2 per cell]  4 Ac 2.93

Results
For the density, the calculation gives 8.94 g/cm³. As for the total moment: 0.00 μB/atom. The formation energy from the elements is 0.24 eV per atom.


[3]
An optimized crystal structure of AcPOs. Source: Alexandria, functional GGA-PBE.

Cell lengths 4.0917, 4.0917, 4.6706 Å; angles 90.00, 90.00, 120.00 degrees
With the nearest neighbours (Å) after each atom.
Space group P3m1 (No. 156)
Symmetry-distinct sites (fractional):
Ac (0.0000, 0.0000, 0.0000) [1 per cell]  6 Os 3.29-3.35, 6 P 3.32
P (0.3333, 0.6667, 0.4995) [1 per cell]  3 Os 2.36
Os (0.6667, 0.3333, 0.5087) [1 per cell]  3 P 2.36

Results
For the density, the calculation gives 10.99 g/cm³. As for the total moment: 0.00 μB/atom. The formation energy from the elements is -0.59 eV per atom. As for the relative energy among the computed polymorphs: 0.0 kJ/mol of atoms.